Entry 1:
DFT (PBE) results for K4CdO3 after structural relaxation.

Calculated values
The uncorrected energy is -0.1336 hartree per atom. For the formation energy without anion corrections, the calculation gives -8.91 eV per formula unit. The spin magnetization comes out at 0.0 μB per cell.

a = 7.1917 Å, b = 7.1917 Å, c = 9.5315 Å
α = 111.15°, β = 111.15°, γ = 55.56°
With the nearest neighbours (Å) after each atom.
Atoms (fractional coordinates):
K  0.0251  0.5934  0.0960  4 O 2.72-2.97
K  0.0589  0.3870  0.4044  3 O 2.62-2.72
K  0.1563  0.8437  0.5000  3 O 2.57-2.65
K  0.2409  0.5656  0.8123  4 O 2.69-2.75
K  0.3870  0.0589  0.9044  3 O 2.62-2.72
K  0.5656  0.2409  0.3123  4 O 2.69-2.75
K  0.5934  0.0251  0.5960  4 O 2.72-2.97
K  0.8437  0.1563  0.0000  3 O 2.57-2.65
Cd  0.4891  0.7792  0.1938  3 O 2.13-2.19
Cd  0.7792  0.4891  0.6938  3 O 2.13-2.19
O  0.1250  0.2340  0.6505  1 Cd 2.18
O  0.2340  0.1250  0.1505  1 Cd 2.18
O  0.4597  0.4767  0.1034  1 Cd 2.13
O  0.4767  0.4597  0.6034  1 Cd 2.13
O  0.7973  0.7979  0.8363  1 Cd 2.19
O  0.7979  0.7973  0.3363  1 Cd 2.19

Entry 2:
DFT (PBE) results for CdGa2RuF after structural relaxation.

Calculated values
The uncorrected energy is -0.1316 hartree per atom. For the formation energy without anion corrections, the calculation gives 0.21 eV per formula unit. The spin magnetization comes out at 0.4 μB per cell.

a = 4.3401 Å, b = 4.3401 Å, c = 4.5090 Å
α = 90.00°, β = 90.00°, γ = 90.00°
With the nearest neighbours (Å) after each atom.
Atoms (fractional coordinates):
Cd  0.0000  0.0000  0.0000  2 F 2.25
Ga  0.0000  0.5000  0.5000  2 F 2.17
Ga  0.5000  0.0000  0.5000  2 F 2.17
Ru  0.5000  0.5000  0.0000  4 Cd 3.07, 8 Ga 3.13
F  0.0000  0.0000  0.5000  4 Ga 2.17, 2 Cd 2.25

Entry 3:
DFT (PBE) results for HoEr2ScTl4 after structural relaxation.

Calculated values
The formation energy comes out at -0.2943 eV/atom. The uncorrected energy is -0.1463 hartree per atom. The spin magnetization comes out at 0.0 μB per cell.

a = 9.1692 Å, b = 9.1692 Å, c = 9.1692 Å
α = 33.45°, β = 33.45°, γ = 33.45°
With the nearest neighbours (Å) after each atom.
Atoms (fractional coordinates):
Ho  0.0000  0.0000  0.0000  8 Tl 3.25-3.28
Er  0.2489  0.2489  0.2489  8 Tl 3.18-3.31
Er  0.7511  0.7511  0.7511  8 Tl 3.18-3.31
Sc  0.5000  0.5000  0.5000  8 Tl 3.20-3.22
Tl  0.1264  0.1264  0.1264  4 Er 3.18-3.24, 3 Sc 3.22, 1 Ho 3.28
Tl  0.3766  0.3766  0.3766  1 Sc 3.20, 4 Er 3.23-3.31, 3 Ho 3.25
Tl  0.6234  0.6234  0.6234  1 Sc 3.20, 4 Er 3.23-3.31, 3 Ho 3.25
Tl  0.8736  0.8736  0.8736  4 Er 3.18-3.24, 3 Sc 3.22, 1 Ho 3.28

Entry 4:
DFT (PBE) results for Sb2Pd2Se after structural relaxation.

Calculated values
The uncorrected energy is -0.1658 hartree per atom. For the formation energy without anion corrections, the calculation gives -0.44 eV per formula unit. The spin magnetization comes out at 0.0 μB per cell.

a = 8.3025 Å, b = 8.3025 Å, c = 3.0563 Å
α = 90.00°, β = 90.00°, γ = 90.00°
With the nearest neighbours (Å) after each atom.
Atoms (fractional coordinates):
Sb  0.1770  0.3230  0.0000  6 Pd 2.86-2.92, 2 Sb 3.06, 2 Se 3.06
Sb  0.3230  0.8230  0.0000  6 Pd 2.86-2.92, 2 Sb 3.06, 2 Se 3.06
Sb  0.6770  0.1770  0.0000  6 Pd 2.86-2.92, 2 Sb 3.06, 2 Se 3.06
Sb  0.8230  0.6770  0.0000  6 Pd 2.86-2.92, 2 Sb 3.06, 2 Se 3.06
Pd  0.1170  0.6170  0.5000  3 Pd 2.75-3.06, 6 Sb 2.86-2.92
Pd  0.3830  0.1170  0.5000  3 Pd 2.75-3.06, 6 Sb 2.86-2.92
Pd  0.6170  0.8830  0.5000  3 Pd 2.75-3.06, 6 Sb 2.86-2.92
Pd  0.8830  0.3830  0.5000  3 Pd 2.75-3.06, 6 Sb 2.86-2.92
Se  0.0000  0.0000  0.0000  2 Se 3.06, 4 Sb 3.06
Se  0.5000  0.5000  0.0000  2 Se 3.06, 4 Sb 3.06

Entry 5:
DFT (PBE) results for CrCd2Sb after structural relaxation.

Calculated values
The uncorrected energy is -0.1292 hartree per atom. For the formation energy without anion corrections, the calculation gives 1.51 eV per formula unit. The spin magnetization comes out at 12.7 μB per cell.

a = 3.3526 Å, b = 3.3526 Å, c = 28.4086 Å
α = 90.00°, β = 90.00°, γ = 120.00°
With the nearest neighbours (Å) after each atom.
Atoms (fractional coordinates):
Cr  0.0000  0.0000  0.0000  6 Cd 2.91
Cr  0.3333  0.6667  0.6667  6 Cd 2.91
Cr  0.6667  0.3333  0.3333  6 Cd 2.91
Cd  0.0000  0.0000  0.2567  3 Cr 2.91, 3 Sb 3.21
Cd  0.0000  0.0000  0.7433  3 Cr 2.91, 3 Sb 3.21
Cd  0.3333  0.6667  0.4100  3 Cr 2.91, 3 Sb 3.21
Cd  0.3333  0.6667  0.9234  3 Cr 2.91, 3 Sb 3.21
Cd  0.6667  0.3333  0.0766  3 Cr 2.91, 3 Sb 3.21
Cd  0.6667  0.3333  0.5900  3 Cr 2.91, 3 Sb 3.21
Sb  0.0000  0.0000  0.5000  6 Cd 3.21, 6 Sb 3.35
Sb  0.3333  0.6667  0.1667  6 Cd 3.21, 6 Sb 3.35
Sb  0.6667  0.3333  0.8333  6 Cd 3.21, 6 Sb 3.35

Entry 6:
DFT (PBE) results for K2BaFe after structural relaxation.

Calculated values
The formation energy comes out at 0.6556 eV/atom. The uncorrected energy is -0.0915 hartree per atom. The spin magnetization comes out at 4.9 μB per cell.

a = 8.3937 Å, b = 4.2322 Å, c = 11.9458 Å
α = 90.00°, β = 97.70°, γ = 90.00°
With the nearest neighbours (Å) after each atom.
Atoms (fractional coordinates):
K  0.0000  0.0000  0.0000  3 Fe 3.41-3.43
K  0.2219  0.0000  0.6636  7 K 4.23-4.70, 1 Ba 4.56
K  0.5000  0.5000  0.0000  3 Fe 3.41-3.43
K  0.7219  0.5000  0.6636  7 K 4.23-4.70, 1 Ba 4.56
Ba  0.4434  0.0000  0.3351  3 Fe 3.15-3.19
Ba  0.9434  0.5000  0.3351  3 Fe 3.15-3.19
Fe  0.2240  0.5000  0.1849  3 Ba 3.15-3.19, 3 K 3.41-3.43
Fe  0.7240  0.0000  0.1849  3 Ba 3.15-3.19, 3 K 3.41-3.43

Q: What is the formula in the fifth record?
A: CrCd2Sb